The following is a DFT calculation (PBE) of crystalline BaNaSr2Ag at its relaxed geometry.

It has space group P4/mmm (No. 123), with a = 6.268 Å, b = 6.268 Å, c = 6.048 Å, α = 90.00°, β = 90.00° and γ = 90.00°. The distinct sites, in fractional coordinates, are Ba at (0.000, 0.000, 0.000), Na at (0.500, 0.500, 0.000), Sr at (0.000, 0.500, 0.500) and Ag at (0.500, 0.500, 0.500).

The calculation puts the energy above the most stable polymorph in this dataset at 5.4 kJ per mole of atoms. As for the calculated volume: 238 Å³ per cell. For the formation energy, the calculation gives -0.1 eV per formula unit. The value obtained for the magnetization is 0.0 μB per formula unit.